The following is a DFT calculation (meta-GGA SCAN) of a crystal of KBeFe2 relaxed with PBEsol.

Structure (POSCAR):
```
KBeFe2
1.0
-1.993 1.993 3.717
1.993 -1.993 3.717
1.993 1.993 -3.717
K Be Fe
1 1 2
direct
0.000 0.000 0.000
0.250 0.750 0.500
0.500 0.500 0.000
0.750 0.250 0.500
```

Results
Energy relative to the elements in eV/f.u.: 5.288
Spin magnetization in μB/cell: 5.15